[1]
This record from Alexandria describes a geometry-optimized BaZrTcRu2 structure. The functional is PBE.

The structure in POSCAR format:
```
BaZrTcRu2
1.0
4.820 0.000 0.000
0.000 4.820 0.000
0.000 0.000 5.758
Ba Zr Tc Ru
1 1 1 2
direct
0.000 0.000 0.000
0.000 0.000 0.500
0.500 0.500 0.000
0.000 0.500 0.500
0.500 0.000 0.500
```

Results
DFT formation energy = 1.8751 eV/atom
Space group = P4/mmm (123)
Total moment = 4.240 Bohr magnetons per cell



[2]
This record from Alexandria describes a geometry-optimized Ac6In2Cu structure. The functional is PBE.

The structure in POSCAR format:
```
Ac6In2Cu
1.0
-2.794 3.934 8.203
2.794 -3.934 8.203
2.794 3.934 -8.203
Ac In Cu
6 2 1
direct
0.085 0.342 0.743
0.231 0.000 0.231
0.402 0.658 0.743
0.598 0.342 0.257
0.769 0.000 0.769
0.915 0.658 0.257
0.334 0.834 0.500
0.666 0.166 0.500
0.000 0.500 0.500
```

Results
DFT formation energy = -0.0453 eV/atom
Space group = Immm (71)
Total moment = 0.001 Bohr magnetons per cell



[3]
This record from Alexandria describes a geometry-optimized DyHo2Ni structure. The functional is PBE.

The structure in POSCAR format:
```
DyHo2Ni
1.0
3.422 0.000 0.000
0.000 3.422 0.000
0.000 0.000 8.627
Dy Ho Ni
1 2 1
direct
0.000 0.000 0.000
0.500 0.500 0.313
0.500 0.500 0.687
0.000 0.000 0.500
```

Results
DFT formation energy = -0.1733 eV/atom
Space group = P4/mmm (123)
Energy above the most stable polymorph in this dataset = 0.0820 eV per atom
Total moment = 0.000 Bohr magnetons per cell



[4]
This record from Alexandria describes a geometry-optimized InAg2 structure. The functional is PBE.

The structure in POSCAR format:
```
InAg2
1.0
4.770 0.000 0.000
-2.385 4.131 0.000
0.000 0.000 2.999
In Ag
1 2
direct
0.000 0.000 0.000
0.333 0.667 0.690
0.667 0.333 0.310
```

Results
DFT formation energy = 0.0136 eV/atom
Space group = P-3m1 (164)
Total moment = 0.000 Bohr magnetons per cell



[5]
This record from Alexandria describes a geometry-optimized GeAsIN2 structure. The functional is PBE.

The structure in POSCAR format:
```
GeAsIN2
1.0
3.969 0.000 0.000
0.000 3.969 0.000
0.000 0.000 6.541
Ge As I N
1 1 1 2
direct
0.000 0.000 0.000
0.500 0.500 0.500
0.500 0.500 0.000
0.000 0.500 0.500
0.500 0.000 0.500
```

Results
Formation energy without anion corrections = 1.476 eV per atom
Space group = P4/mmm (123)
Energy above the most stable polymorph in this dataset = 0.0424 eV per atom
Total moment = 0.834 Bohr magnetons per cell



[6]
This record from Alexandria describes a geometry-optimized RbSnH3 structure. The functional is PBE.

The structure in POSCAR format:
```
RbSnH3
1.0
6.212 0.000 0.000
0.000 5.263 0.000
0.000 0.000 6.614
Rb Sn H
2 2 6
direct
0.000 0.002 0.000
0.500 0.998 0.500
0.000 0.508 0.553
0.500 0.492 0.053
0.000 0.263 0.363
0.205 0.335 0.695
0.295 0.665 0.195
0.500 0.737 0.863
0.705 0.665 0.195
0.795 0.335 0.695
```

Results
Space group = Pmn2_1 (31)
Energy above the most stable polymorph in this dataset = 0.0000 eV per atom
Total moment = 0.000 Bohr magnetons per cell



[7]
This record from Alexandria describes a geometry-optimized CaTe2Se structure. The functional is PBE.

The structure in POSCAR format:
```
CaTe2Se
1.0
4.392 0.000 0.000
0.000 4.392 0.000
0.000 0.000 6.313
Ca Te Se
1 2 1
direct
0.000 0.000 0.000
0.000 0.000 0.500
0.500 0.500 0.500
0.500 0.500 0.000
```

Results
Formation energy without anion corrections = -0.862 eV per atom
Space group = P4/mmm (123)
Total moment = 0.000 Bohr magnetons per cell



[8]
This record from Alexandria describes a geometry-optimized LiY2Sb structure. The functional is PBE.

The structure in POSCAR format:
```
LiY2Sb
1.0
-2.202 2.202 5.403
2.202 -2.202 5.403
2.202 2.202 -5.403
Li Y Sb
1 2 1
direct
0.000 0.000 0.000
0.500 0.500 0.000
0.750 0.250 0.500
0.250 0.750 0.500
```

Results
Formation energy without anion corrections = -0.472 eV per atom
Space group = I-4m2 (119)
Total moment = 0.000 Bohr magnetons per cell



[9]
This record from Alexandria describes a geometry-optimized Li5SbAu6 structure. The functional is PBE.

The structure in POSCAR format:
```
Li5SbAu6
1.0
-2.245 3.292 6.706
2.245 -3.292 6.706
2.245 3.292 -6.706
Li Sb Au
5 1 6
direct
0.000 0.000 0.000
0.172 0.672 0.500
0.342 0.342 0.000
0.658 0.658 0.000
0.828 0.328 0.500
0.500 0.000 0.500
0.056 0.824 0.232
0.218 0.500 0.718
0.408 0.176 0.232
0.592 0.824 0.768
0.782 0.500 0.282
0.944 0.176 0.768
```

Results
Formation energy without anion corrections = -0.477 eV per atom
Space group = Immm (71)
Total moment = 0.000 Bohr magnetons per cell



[10]
This record from Alexandria describes a geometry-optimized KTl2IO8 structure. The functional is PBE.

The structure in POSCAR format:
```
KTl2IO8
1.0
4.724 0.000 0.000
-0.115 5.176 0.000
-2.123 -0.063 7.751
K Tl I O
1 2 1 8
direct
0.000 0.000 0.000
0.404 0.523 0.292
0.596 0.477 0.708
0.000 0.000 0.500
0.157 0.510 0.011
0.167 0.147 0.332
0.236 0.693 0.509
0.278 0.151 0.701
0.722 0.849 0.299
0.764 0.307 0.491
0.833 0.853 0.668
0.843 0.490 0.989
```

Results
Formation energy without anion corrections = -0.462 eV per atom
Space group = P-1 (2)
Total moment = 0.095 Bohr magnetons per cell



[11]
This record from Alexandria describes a geometry-optimized Li2MnHg structure. The functional is PBE.

The structure in POSCAR format:
```
Li2MnHg
1.0
1.524 0.880 9.380
-1.524 0.880 9.380
0.000 -1.760 9.380
Li Mn Hg
2 1 1
direct
0.000 0.000 0.000
0.244 0.244 0.244
0.498 0.498 0.498
0.747 0.747 0.747
```

Results
DFT formation energy = 0.1835 eV/atom
Space group = R3m (160)
Total moment = 3.937 Bohr magnetons per cell



[12]
This record from Alexandria describes a geometry-optimized Tb2Nd2DyHo4 structure. The functional is PBE.

The structure in POSCAR format:
```
Tb2Nd2DyHo4
1.0
9.339 -1.800 0.000
9.339 1.800 0.000
-4.149 0.000 8.617
Tb Nd Dy Ho
2 2 1 4
direct
0.147 0.147 0.163
0.853 0.853 0.837
0.335 0.335 0.500
0.665 0.665 0.500
0.000 0.000 0.500
0.185 0.185 0.836
0.481 0.481 0.165
0.519 0.519 0.835
0.815 0.815 0.164
```

Results
DFT formation energy = -0.0019 eV/atom
Space group = C2/m (12)
Total moment = 0.000 Bohr magnetons per cell